## AlMo (GGA-PBE)

Data for crystalline AlMo at its relaxed geometry.

The final energy is -7.3010 eV/atom. The calculation puts the total magnetization at 0.00 μB/f.u. The formation enthalpy at 0 K is 0.0 eV per formula unit.

The structure belongs to space group Cmme (No. 67); the cell edges are 3.2342, 4.4395 and 8.7952 Å and the angles 90.00°, 90.00° and 90.00°. The distinct sites, in fractional coordinates, are Al at (0.0000, 0.2500, 0.1325) and Mo at (0.0000, 0.2500, 0.6248).

## Al3Mo (GGA-PBE)

Data for crystalline Al3Mo at its relaxed geometry.

The final energy is -5.4869 eV/atom. The calculation puts the total magnetization at 0.00 μB/f.u. The formation enthalpy at 0 K is 0.1 eV per formula unit.

The structure belongs to space group Cmcm (No. 63); the cell edges are 7.5558, 7.5978 and 4.6753 Å and the angles 90.00°, 90.00° and 90.00°. The distinct sites, in fractional coordinates, are Al at (0.0000, 0.0773, 0.2500), Al at (0.1721, 0.2591, 0.7500) and Mo at (0.0000, 0.4103, 0.2500).

## Al3Mo (GGA-PBE)

Data for crystalline Al3Mo at its relaxed geometry.

The final energy is -5.7099 eV/atom. The calculation puts the total magnetization at 0.00 μB/f.u. The formation enthalpy at 0 K is -0.8 eV per formula unit.

The structure belongs to space group Imm2 (No. 44); the cell edges are 2.8635, 8.9864 and 4.8024 Å and the angles 90.00°, 90.00° and 90.00°. The distinct sites, in fractional coordinates, are Al at (0.0000, 0.0000, 0.0000), Al at (0.0000, 0.2444, 0.6571) and Mo at (0.0000, 0.5000, 0.9888).

## AlMo (GGA-PBE)

Data for crystalline AlMo at its relaxed geometry.

The final energy is -7.3902 eV/atom. The calculation puts the total magnetization at 0.00 μB/f.u. The formation enthalpy at 0 K is -0.2 eV per formula unit.

The structure belongs to space group P6_3/mmc (No. 194); the cell edges are 2.8531, 2.8531 and 8.8654 Å and the angles 90.00°, 90.00° and 120.00°. The distinct sites, in fractional coordinates, are Al at (0.3333, 0.6667, 0.2500) and Mo at (0.0000, 0.0000, 0.0000).

## AlMo2 (GGA-PBE)

Data for crystalline AlMo2 at its relaxed geometry.

The final energy is -8.5808 eV/atom. The calculation puts the total magnetization at 0.00 μB/f.u. The formation enthalpy at 0 K is -0.3 eV per formula unit. The calculation puts the relative energy among the computed polymorphs at 60.2 meV/atom.

The structure belongs to space group C2/m (No. 12); the cell edges are 9.7028, 3.2788 and 6.1805 Å and the angles 90.00°, 108.70° and 90.00°. The distinct sites, in fractional coordinates, are Al at (0.1661, 0.0000, 0.3273), Mo at (0.0000, 0.5000, 0.0000), Mo at (0.0000, 0.5000, 0.5000) and Mo at (0.1607, 0.0000, 0.8321).

## Al3Mo (GGA-PBE)

Data for crystalline Al3Mo at its relaxed geometry.

The final energy is -5.8393 eV/atom. The calculation puts the total magnetization at 0.00 μB/f.u. The formation enthalpy at 0 K is -1.3 eV per formula unit.

The structure belongs to space group C2/m (No. 12); the cell edges are 16.4417, 3.6082 and 8.4022 Å and the angles 90.00°, 101.88° and 90.00°. The distinct sites, in fractional coordinates, are Al at (0.0602, 0.0000, 0.4169), Al at (0.0657, 0.0000, 0.9216), Al at (0.0657, 0.5000, 0.1802), Al at (0.1874, 0.0000, 0.7209), Al at (0.1877, 0.5000, 0.4706), Al at (0.1889, 0.5000, 0.9803), Mo at (0.0731, 0.5000, 0.6796) and Mo at (0.1952, 0.0000, 0.2284).

## Al4Mo3 (GGA-PBE)

Data for crystalline Al4Mo3 at its relaxed geometry.

The final energy is -6.9731 eV/atom. The calculation puts the total magnetization at 0.00 μB/f.u. The formation enthalpy at 0 K is -1.3 eV per formula unit. The calculation puts the relative energy among the computed polymorphs at 0.0 meV/atom.

The structure belongs to space group I4/mmm (No. 139); the cell edges are 3.2320, 3.2320 and 20.6942 Å and the angles 90.00°, 90.00° and 90.00°. The distinct sites, in fractional coordinates, are Al at (0.0000, 0.0000, 0.0681), Al at (0.0000, 0.0000, 0.3566), Mo at (0.0000, 0.0000, 0.2166) and Mo at (0.0000, 0.0000, 0.5000).

## Al2Mo3 (GGA-PBE)

Data for crystalline Al2Mo3 at its relaxed geometry.

The final energy is -7.4894 eV/atom. The calculation puts the total magnetization at 0.00 μB/f.u. The formation enthalpy at 0 K is 2.5 eV per formula unit. The calculation puts the relative energy among the computed polymorphs at 514.4 meV/atom.

The structure belongs to space group P-3m1 (No. 164); the cell edges are 4.2674, 4.2674 and 5.2969 Å and the angles 90.00°, 90.00° and 120.00°. The distinct sites, in fractional coordinates, are Al at (0.3333, 0.6667, 0.3597), Mo at (0.0000, 0.0000, 0.5000) and Mo at (0.3333, 0.6667, 0.8726).

## Al3Mo (GGA-PBE)

Data for crystalline Al3Mo at its relaxed geometry.

The final energy is -5.5886 eV/atom. The calculation puts the total magnetization at 0.00 μB/f.u. The formation enthalpy at 0 K is -0.3 eV per formula unit.

The structure belongs to space group R-3m (No. 166, hexagonal axes); the cell edges are 8.7571, 8.7571 and 2.8071 Å and the angles 90.00°, 90.00° and 120.00°. The distinct sites, in fractional coordinates, are Al at (0.0000, 0.5000, 0.0000) and Mo at (0.0000, 0.0000, 0.0000).

## AlMo2 (GGA-PBE)

Data for crystalline AlMo2 at its relaxed geometry.

The final energy is -8.4559 eV/atom. The calculation puts the total magnetization at 0.00 μB/f.u. The formation enthalpy at 0 K is 0.0 eV per formula unit. The calculation puts the relative energy among the computed polymorphs at 185.2 meV/atom.

The structure belongs to space group I4_1/amd (No. 141, origin choice 2); the cell edges are 3.9096, 3.9096 and 24.4300 Å and the angles 90.00°, 90.00° and 90.00°. The distinct sites, in fractional coordinates, are Al at (0.0000, 0.2500, 0.2924), Mo at (0.0000, 0.2500, 0.1266) and Mo at (0.0000, 0.2500, 0.7896).

## Al2Mo3 (GGA-PBE)

Data for crystalline Al2Mo3 at its relaxed geometry.

The final energy is -7.9736 eV/atom. The calculation puts the total magnetization at 0.00 μB/f.u. The formation enthalpy at 0 K is 0.1 eV per formula unit. The calculation puts the relative energy among the computed polymorphs at 30.3 meV/atom.

The structure belongs to space group P2_1/c (No. 14); the cell edges are 9.8354, 9.1206 and 7.5356 Å and the angles 90.00°, 110.22° and 90.00°. The distinct sites, in fractional coordinates, are Al at (0.0244, 0.0176, 0.2042), Al at (0.1815, 0.0418, 0.6018), Al at (0.2642, 0.6298, 0.8400), Al at (0.4373, 0.1224, 0.9150), Mo at (0.0576, 0.7241, 0.9944), Mo at (0.1482, 0.2205, 0.8611), Mo at (0.2548, 0.5909, 0.4722), Mo at (0.3093, 0.1425, 0.1998), Mo at (0.3948, 0.6579, 0.2150) and Mo at (0.4427, 0.1049, 0.5664).

## AlMo (GGA-PBE)

Data for crystalline AlMo at its relaxed geometry.

The final energy is -7.4362 eV/atom. The calculation puts the total magnetization at 0.00 μB/f.u. The formation enthalpy at 0 K is -0.3 eV per formula unit.

The structure belongs to space group Cmmm (No. 65); the cell edges are 3.3385, 4.3151 and 4.2491 Å and the angles 90.00°, 90.00° and 90.00°. The distinct sites, in fractional coordinates, are Al at (0.0000, 0.0000, 0.0000) and Mo at (0.0000, 0.5000, 0.5000).

## AlMo (GGA-PBE)

Data for crystalline AlMo at its relaxed geometry.

The final energy is -7.4952 eV/atom. The calculation puts the total magnetization at 0.00 μB/f.u. The formation enthalpy at 0 K is -0.4 eV per formula unit.

The structure belongs to space group Fd-3m (No. 227, origin choice 2); the cell edges are 6.2294, 6.2294 and 6.2294 Å and the angles 90.00°, 90.00° and 90.00°. The distinct sites, in fractional coordinates, are Al at (0.1250, 0.1250, 0.1250) and Mo at (0.1250, 0.1250, 0.6250).

## Al3Mo (GGA-PBE)

Data for crystalline Al3Mo at its relaxed geometry.

The final energy is -5.7219 eV/atom. The calculation puts the total magnetization at 0.00 μB/f.u. The formation enthalpy at 0 K is -0.8 eV per formula unit.

The structure belongs to space group Pmm2 (No. 25); the cell edges are 2.7875, 4.6038 and 4.8136 Å and the angles 90.00°, 90.00° and 90.00°. The distinct sites, in fractional coordinates, are Al at (0.0000, 0.0000, 0.0000), Al at (0.0000, 0.5000, 0.3253), Al at (0.5000, 0.0000, 0.5080) and Mo at (0.5000, 0.5000, 0.8200).

## AlMo2 (GGA-PBE)

Data for crystalline AlMo2 at its relaxed geometry.

The final energy is -8.3806 eV/atom. The calculation puts the total magnetization at 0.00 μB/f.u. The formation enthalpy at 0 K is 0.3 eV per formula unit. The calculation puts the relative energy among the computed polymorphs at 260.5 meV/atom.

The structure belongs to space group Immm (No. 71); the cell edges are 2.6709, 4.8069 and 7.4725 Å and the angles 90.00°, 90.00° and 90.00°. The distinct sites, in fractional coordinates, are Al at (0.0000, 0.0000, 0.0000) and Mo at (0.0000, 0.5000, 0.1743).

## Al4Mo3 (GGA-PBE)

Data for crystalline Al4Mo3 at its relaxed geometry.

The final energy is -6.7851 eV/atom. The calculation puts the total magnetization at 0.00 μB/f.u. The formation enthalpy at 0 K is 0.0 eV per formula unit. The calculation puts the relative energy among the computed polymorphs at 188.0 meV/atom.

The structure belongs to space group P6/mmm (No. 191); the cell edges are 5.2798, 5.2798 and 4.8446 Å and the angles 90.00°, 90.00° and 120.00°. The distinct sites, in fractional coordinates, are Al at (0.0000, 0.0000, 0.2492), Al at (0.3333, 0.6667, 0.0000) and Mo at (0.0000, 0.5000, 0.5000).

## Al3Mo (GGA-PBE)

Data for crystalline Al3Mo at its relaxed geometry.

The final energy is -5.7150 eV/atom. The calculation puts the total magnetization at 0.00 μB/f.u. The formation enthalpy at 0 K is -0.8 eV per formula unit.

The structure belongs to space group P4/mmm (No. 123); the cell edges are 3.3964, 3.3964 and 5.4374 Å and the angles 90.00°, 90.00° and 90.00°. The distinct sites, in fractional coordinates, are Al at (0.0000, 0.0000, 0.0000), Al at (0.5000, 0.5000, 0.2601) and Mo at (0.0000, 0.0000, 0.5000).

## AlMo (GGA-PBE)

Data for crystalline AlMo at its relaxed geometry.

The final energy is -6.7197 eV/atom. The calculation puts the total magnetization at 0.11 μB/f.u. The formation enthalpy at 0 K is 1.1 eV per formula unit.

The structure belongs to space group P6_3/mmc (No. 194); the cell edges are 3.8743, 3.8743 and 5.2590 Å and the angles 90.00°, 90.00° and 120.00°. The distinct sites, in fractional coordinates, are Al at (0.0000, 0.0000, 0.0000) and Mo at (0.3333, 0.6667, 0.2500).

## AlMo (GGA-PBE)

Data for crystalline AlMo at its relaxed geometry.

The final energy is -7.2790 eV/atom. The calculation puts the total magnetization at 0.00 μB/f.u. The formation enthalpy at 0 K is 0.0 eV per formula unit.

The structure belongs to space group Pmmn (No. 59, origin choice 2); the cell edges are 2.7142, 4.7294 and 4.8928 Å and the angles 90.00°, 90.00° and 90.00°. The distinct sites, in fractional coordinates, are Al at (0.2500, 0.2500, 0.0906) and Mo at (0.2500, 0.7500, 0.3987).

## AlMo (GGA-PBE)

Data for crystalline AlMo at its relaxed geometry.

The final energy is -7.3785 eV/atom. The calculation puts the total magnetization at 0.00 μB/f.u. The formation enthalpy at 0 K is -0.2 eV per formula unit.

The structure belongs to space group Amm2 (No. 38); the cell edges are 2.7598, 13.7910 and 4.8509 Å and the angles 90.00°, 90.00° and 90.00°. The distinct sites, in fractional coordinates, are Al at (0.0000, 0.0000, 0.0000), Al at (0.0000, 0.1665, 0.3024), Mo at (0.5000, 0.0000, 0.5037) and Mo at (0.5000, 0.1646, 0.8054).